Record 1
# SrLiSbSe3

An optimized crystal structure of SrLiSbSe3 (GGA-PBE, the Alexandria database).

Values from the calculation:
E_tot = -24.58 eV/f.u.
ΔE_f (raw) = -1.069 eV per atom
Symmetry = P2_1/m

Cell: 8.750 4.184 9.065 Å, 90.00 104.07 90.00°
Fractional coordinates of all 12 atoms:
Sr: 0.195 0.250 0.245
Sr: 0.805 0.750 0.755
Li: 0.088 0.250 0.592
Li: 0.912 0.750 0.408
Sb: 0.327 0.750 0.843
Sb: 0.673 0.250 0.157
Se: 0.108 0.250 0.879
Se: 0.212 0.750 0.510
Se: 0.440 0.750 0.167
Se: 0.560 0.250 0.833
Se: 0.788 0.250 0.490
Se: 0.892 0.750 0.121



Record 2
# Pr3Nd2PuSe6

An optimized crystal structure of Pr3Nd2PuSe6 (GGA-PBE, the Alexandria database).

Values from the calculation:
E_tot = -80.75 eV/f.u.
Density of states at the Fermi level = 11.026 states/eV per cell
ΔE_f (raw) = -1.803 eV per atom
Symmetry = C2/m

Cell: 9.469 9.469 8.509 Å, 103.06 103.06 25.71°
Fractional coordinates of all 12 atoms:
Pr: 0.000 0.000 0.000
Pr: 0.332 0.332 0.665
Pr: 0.668 0.668 0.335
Nd: 0.335 0.335 0.169
Nd: 0.665 0.665 0.831
Pu: 0.000 0.000 0.500
Se: 0.164 0.164 0.584
Se: 0.168 0.168 0.082
Se: 0.500 0.500 0.257
Se: 0.500 0.500 0.743
Se: 0.832 0.832 0.918
Se: 0.836 0.836 0.416



Record 3
# ZnIn2Ga

An optimized crystal structure of ZnIn2Ga (GGA-PBE, the Alexandria database).

Values from the calculation:
E_tot = -8.22 eV/f.u.
Density of states at the Fermi level = 6.310 states/eV per cell
Symmetry = I-42d
Formation energy from the elements = 0.388 eV/atom

Cell: 7.666 7.666 7.666 Å, 131.43 131.43 71.13°
Fractional coordinates of all 8 atoms:
Zn: 0.000 0.000 0.000
Zn: 0.750 0.250 0.500
In: 0.129 0.625 0.004
In: 0.375 0.379 0.504
In: 0.621 0.125 0.996
In: 0.875 0.871 0.496
Ga: 0.250 0.750 0.500
Ga: 0.500 0.500 0.000



Record 4
# K2CuP

An optimized crystal structure of K2CuP (GGA-PBE, the Alexandria database).

Values from the calculation:
E_tot = -10.41 eV/f.u.
Density of states at the Fermi level = 1.124 states/eV per cell
Symmetry = I4/mmm
Formation energy from the elements = 0.323 eV/atom

Cell: 5.803 5.803 5.803 Å, 134.01 134.01 67.07°
Fractional coordinates of all 4 atoms:
K: 0.250 0.750 0.500
K: 0.750 0.250 0.500
Cu: 0.000 0.000 0.000
P: 0.500 0.500 0.000



Record 5
# SrSbRh2

An optimized crystal structure of SrSbRh2 (GGA-PBE, the Alexandria database).

Values from the calculation:
E_tot = -21.14 eV/f.u.
Density of states at the Fermi level = 2.195 states/eV per cell
ΔE_f (raw) = -0.158 eV per atom
Symmetry = I-4m2

Cell: 5.591 5.591 5.591 Å, 137.12 137.12 62.26°
Fractional coordinates of all 4 atoms:
Sr: 0.000 0.000 0.000
Sb: 0.750 0.250 0.500
Rh: 0.250 0.750 0.500
Rh: 0.500 0.500 0.000



Record 6
# Ti3CrSb

An optimized crystal structure of Ti3CrSb (GGA-PBE, the Alexandria database).

Values from the calculation:
E_tot = -35.91 eV/f.u.
Density of states at the Fermi level = 8.029 states/eV per cell
ΔE_f (raw) = 0.304 eV per atom
Energy above the most stable polymorph in this dataset = 0 meV/atom
Symmetry = Pm-3m

Cell: 4.539 4.539 4.539 Å, 90.00 90.00 90.00°
Fractional coordinates of all 5 atoms:
Ti: 0.000 0.000 0.500
Ti: 0.000 0.500 0.000
Ti: 0.500 0.000 0.000
Cr: 0.000 0.000 0.000
Sb: 0.500 0.500 0.500